Entry 1:
A plane-wave DFT calculation with PBE was carried out for AlSbOs2 after structural relaxation.

Output
* Fermi-level density of states: 2.46 states/eV/cell
* formation energy from raw total energies: 0.24 eV per atom
* ΔE to the lowest computed polymorph: 164 meV per atom
* calculated total energy: -29.4 eV per cell

Cell: 4.5109 3.0216 5.1166 Å, 90.00 113.08 90.00°
Closest atoms and distances in Å follow each position.
Space group P2/m (No. 10)
One atom of each set of equivalent atoms:
Al1 0.0000 0.0000 0.0000 [1 per cell]  6 Os 2.67-2.71, 4 Sb 2.97
Sb1 0.0000 0.5000 0.5000 [1 per cell]  6 Os 2.67-2.71, 4 Al 2.97
Os1 0.5000 0.0000 0.5000 [1 per cell]  2 Al 2.67, 4 Sb 2.71, 4 Os 2.97
Os2 0.5000 0.5000 0.0000 [1 per cell]  2 Sb 2.67, 4 Al 2.71, 4 Os 2.97

Entry 2:
A plane-wave DFT calculation with PBE was carried out for DyY2HoEr2 after structural relaxation.

Output
* Fermi-level density of states: 18.67 states/eV/cell
* calculated total energy: -59.2 eV per cell

Cell: 6.4959 17.6693 3.3748 Å, 90.00 90.00 90.00°
Closest atoms and distances in Å follow each position.
Space group Pnnm (No. 58)
One atom of each set of equivalent atoms:
Dy1 0.0000 0.0000 0.0000 [2 per cell]  2 Dy 3.37, 4 Er 3.42, 4 Ho 3.66
Y1 0.2296 0.3148 0.0000 [4 per cell]  4 Er 3.31-3.42, 2 Y 3.37, 1 Ho 3.60
Ho1 0.0000 0.5000 0.0000 [2 per cell]  2 Er 3.13, 2 Ho 3.37
Er1 0.2282 0.1463 0.5000 [4 per cell]  1 Ho 3.13, 4 Y 3.31-3.42, 2 Er 3.37, 2 Dy 3.42

Entry 3:
A plane-wave DFT calculation with PBE was carried out for Zr2FeRe after structural relaxation.

Output
* Fermi-level density of states: 16.74 states/eV/cell
* ΔE to the lowest computed polymorph: 293 meV per atom
* calculated total energy: -150.3 eV per cell

Cell: 6.4974 6.4974 6.4974 Å, 90.00 90.00 90.00°
Closest atoms and distances in Å follow each position.
Space group F-43m (No. 216)
One atom of each set of equivalent atoms:
Zr1 0.0000 0.0000 0.0000 [4 per cell]  4 Zr 2.81, 4 Fe 2.81
Zr2 0.2500 0.2500 0.2500 [4 per cell]  4 Zr 2.81, 4 Re 2.81
Fe1 0.2500 0.2500 0.7500 [4 per cell]  4 Zr 2.81, 4 Re 2.81
Re1 0.0000 0.0000 0.5000 [4 per cell]  4 Zr 2.81, 4 Fe 2.81

Entry 4:
A plane-wave DFT calculation with PBE was carried out for BeNbIr3 after structural relaxation.

Output
* Fermi-level density of states: 2.70 states/eV/cell
* ΔE to the lowest computed polymorph: 0 meV per atom
* calculated total energy: -40.7 eV per cell

Cell: 4.1557 4.1557 4.1557 Å, 90.00 90.00 90.00°
Closest atoms and distances in Å follow each position.
Space group Pm-3m (No. 221)
One atom of each set of equivalent atoms:
Be1 0.0000 0.0000 0.0000 [1 per cell]  6 Ir 2.08
Nb1 0.5000 0.5000 0.5000 [1 per cell]  12 Ir 2.94
Ir1 0.0000 0.0000 0.5000 [3 per cell]  2 Be 2.08

Entry 5:
A plane-wave DFT calculation with PBE was carried out for CaNiGe after structural relaxation.

Output
* Fermi-level density of states: 5.01 states/eV/cell
* calculated total energy: -56.1 eV per cell

Cell: 11.1393 4.1524 5.3958 Å, 90.00 103.26 90.00°
Closest atoms and distances in Å follow each position.
Space group C2/m (No. 12)
One atom of each set of equivalent atoms:
Ca1 0.1112 0.0000 0.3111 [4 per cell]  2 Ni 2.79-2.96
Ni1 0.2029 0.0000 0.8709 [4 per cell]  3 Ge 2.31-2.40, 2 Ni 2.58
Ge1 0.1097 0.5000 0.8041 [4 per cell]  3 Ni 2.31-2.40

Entry 6:
A plane-wave DFT calculation with PBE was carried out for Zr4Sc after structural relaxation.

Output
* Fermi-level density of states: 16.74 states/eV/cell
* ΔE to the lowest computed polymorph: 998 meV per atom
* calculated total energy: -70.9 eV per cell

Cell: 6.4524 6.4524 6.4524 Å, 90.00 90.00 90.00°
Closest atoms and distances in Å follow each position.
Space group Im-3m (No. 229)
One atom of each set of equivalent atoms:
Zr1 0.2500 0.2500 0.2500 [8 per cell]  2 Sc 2.79
Sc1 0.0000 0.0000 0.0000 [2 per cell]  8 Zr 2.79

Entry 7:
A plane-wave DFT calculation with PBE was carried out for NdHoSc2Se4 after structural relaxation.

Output
* Fermi-level density of states: 4.89 states/eV/cell
* formation energy from raw total energies: -1.67 eV per atom
* calculated total energy: -49.3 eV per cell

Cell: 6.9392 3.9616 7.0211 Å, 90.00 108.86 90.00°
Closest atoms and distances in Å follow each position.
Space group P2/m (No. 10)
One atom of each set of equivalent atoms:
Nd1 0.0000 0.0000 0.0000 [1 per cell]  6 Se 2.95
Ho1 0.5000 0.5000 0.0000 [1 per cell]  6 Se 2.89-2.90
Sc1 0.0000 0.5000 0.5000 [1 per cell]  6 Se 2.79
Sc2 0.5000 0.0000 0.5000 [1 per cell]  6 Se 2.73
Se1 0.2508 0.0000 0.7314 [2 per cell]  3 Sc 2.73-2.79, 2 Ho 2.89, 1 Nd 2.95
Se2 0.2651 0.5000 0.2739 [2 per cell]  3 Sc 2.73-2.79, 1 Ho 2.90, 2 Nd 2.95

Entry 8:
A plane-wave DFT calculation with PBE was carried out for CeErTe2 after structural relaxation.

Output
* Fermi-level density of states: 22.13 states/eV/cell
* formation energy from raw total energies: -1.31 eV per atom
* ΔE to the lowest computed polymorph: 0 meV per atom
* calculated total energy: -66.0 eV per cell

Cell: 4.3544 4.3544 22.0814 Å, 90.00 90.00 120.00°
Closest atoms and distances in Å follow each position.
Space group R-3m (No. 166, hexagonal axes)
One atom of each set of equivalent atoms:
Ce1 0.0000 0.0000 0.0000 [3 per cell]  6 Te 3.18
Er1 0.0000 0.0000 0.5000 [3 per cell]  6 Te 3.05
Te1 0.0000 0.0000 0.2451 [6 per cell]  3 Er 3.05, 3 Ce 3.18

Entry 9:
A plane-wave DFT calculation with PBE was carried out for LiNdHoTm after structural relaxation.

Output
* Fermi-level density of states: 14.89 states/eV/cell
* calculated total energy: -60.4 eV per cell

Cell: 7.7764 7.7764 7.7764 Å, 90.00 90.00 90.00°
Closest atoms and distances in Å follow each position.
Space group F-43m (No. 216)
One atom of each set of equivalent atoms:
Li1 0.0000 0.0000 0.0000 [4 per cell]  4 Nd 3.37, 4 Ho 3.37
Nd1 0.2500 0.2500 0.2500 [4 per cell]  4 Li 3.37, 4 Tm 3.37
Ho1 0.2500 0.2500 0.7500 [4 per cell]  4 Li 3.37, 4 Tm 3.37
Tm1 0.0000 0.0000 0.5000 [4 per cell]  4 Ho 3.37, 4 Nd 3.37

Entry 10:
A plane-wave DFT calculation with PBE was carried out for Zr3NbSn after structural relaxation.

Output
* Fermi-level density of states: 8.94 states/eV/cell
* ΔE to the lowest computed polymorph: 0 meV per atom
* calculated total energy: -36.3 eV per cell

Cell: 5.0833 5.0833 5.0833 Å, 90.00 90.00 90.00°
Closest atoms and distances in Å follow each position.
Space group Pm-3m (No. 221)
One atom of each set of equivalent atoms:
Zr1 0.0000 0.0000 0.5000 [3 per cell]  2 Nb 2.54
Nb1 0.0000 0.0000 0.0000 [1 per cell]  6 Zr 2.54
Sn1 0.5000 0.5000 0.5000 [1 per cell]  12 Zr 3.59

Entry 11:
A plane-wave DFT calculation with PBE was carried out for ScTlHg2 after structural relaxation.

Output
* Fermi-level density of states: 5.28 states/eV/cell
* calculated total energy: -19.5 eV per cell

Cell: 11.7063 3.5287 5.3078 Å, 90.00 116.89 90.00°
Closest atoms and distances in Å follow each position.
Space group Cm (No. 8)
One atom of each set of equivalent atoms:
Sc1 0.0000 0.0000 0.0000 [2 per cell]  7 Hg 3.07-3.40, 3 Tl 3.21-3.25
Tl1 0.2544 0.0000 0.9007 [2 per cell]  7 Hg 3.17-3.35, 3 Sc 3.21-3.25, 2 Tl 3.53
Hg1 0.2277 0.5000 0.3770 [2 per cell]  3 Sc 3.07-3.40, 3 Hg 3.19-3.32, 4 Tl 3.19-3.21
Hg2 0.4892 0.0000 0.5134 [2 per cell]  4 Sc 3.08-3.30, 3 Tl 3.17-3.35, 3 Hg 3.19-3.32

Entry 12:
A plane-wave DFT calculation with PBE was carried out for FeHgSb2Te after structural relaxation.

Output
* Fermi-level density of states: 8.97 states/eV/cell
* formation energy from raw total energies: 1.30 eV per atom
* ΔE to the lowest computed polymorph: 949 meV per atom
* calculated total energy: -13.7 eV per cell

Cell: 5.5012 5.5012 5.6292 Å, 90.00 90.00 90.00°
Closest atoms and distances in Å follow each position.
Space group P4/mmm (No. 123)
One atom of each set of equivalent atoms:
Fe1 0.0000 0.0000 0.0000 [1 per cell]  4 Te 3.89, 8 Sb 3.94
Hg1 0.5000 0.5000 0.5000 [1 per cell]  4 Sb 2.75, 2 Te 2.81
Sb1 0.0000 0.5000 0.5000 [2 per cell]  2 Hg 2.75
Te1 0.5000 0.5000 0.0000 [1 per cell]  2 Hg 2.81

Entry 13:
A plane-wave DFT calculation with PBE was carried out for ScGaTeO6 after structural relaxation.

Output
* Fermi-level density of states: 0.00 states/eV/cell
* formation energy from raw total energies: -1.94 eV per atom
* calculated total energy: -119.5 eV per cell

Cell: 5.1001 5.1001 9.2469 Å, 90.00 90.00 120.00°
Closest atoms and distances in Å follow each position.
Space group P-31c (No. 163)
One atom of each set of equivalent atoms:
Sc1 0.0000 0.0000 0.0000 [2 per cell]  6 O 2.17
Ga1 0.3333 0.6667 0.2500 [2 per cell]  6 O 2.01
Te1 0.3333 0.6667 0.7500 [2 per cell]  6 O 1.95
O1 0.0082 0.3537 0.6336 [12 per cell]  1 Te 1.95, 1 Ga 2.01, 1 Sc 2.17